# LiCa2YNi

A relaxed structure of LiCa2YNi (PBE-GGA, Alexandria via LeMat-Bulk).

a b c (Å): 5.535 5.535 5.194
angles (deg): 90.00 90.00 90.00
Fractional coordinates of all 5 atoms:
Y1 0.000 0.000 0.500
Ni1 0.000 0.000 0.000
Ca1 0.000 0.500 0.000
Ca2 0.500 0.000 0.000
Li1 0.500 0.500 0.500

Computed properties:
- Total DFT energy (no corrections): -3.635 eV/atom